# ScNiAg3 | Alexandria via LeMat-Bulk | PBE-GGA | optimized geometry
data_ScNiAg3
_symmetry_space_group_name_H-M 'P m -3 m'
_symmetry_Int_Tables_number 221
_symmetry_space_group_name_Hall '-P 4 2 3'
_cell_length_a 4.751
_cell_length_b 4.751
_cell_length_c 4.751
_cell_angle_alpha 90.00
_cell_angle_beta 90.00
_cell_angle_gamma 90.00
loop_
_atom_site_label
_atom_site_type_symbol
_atom_site_fract_x
_atom_site_fract_y
_atom_site_fract_z
Sc1 Sc 0.000 0.000 0.000
Ni1 Ni 0.500 0.500 0.500
Ag1 Ag 0.000 0.500 0.500
# Crystal system: cubic
# ΔH_f (0 K) in meV per atom: 495


# Ba2Tc2F | Alexandria via LeMat-Bulk | PBE-GGA | optimized geometry
data_Ba2Tc2F
_symmetry_space_group_name_H-M 'I 4/m m m'
_symmetry_Int_Tables_number 139
_symmetry_space_group_name_Hall '-I 4 2'
_cell_length_a 6.154
_cell_length_b 6.154
_cell_length_c 7.272
_cell_angle_alpha 90.00
_cell_angle_beta 90.00
_cell_angle_gamma 90.00
loop_
_atom_site_label
_atom_site_type_symbol
_atom_site_fract_x
_atom_site_fract_y
_atom_site_fract_z
Ba1 Ba 0.000 0.500 0.250
Tc1 Tc 0.000 0.000 0.152
F1 F 0.000 0.000 0.500
# Energy relative to the elements, uncorrected in eV/atom: 0.2270
# Crystal system: tetragonal


Total magnetization / μB/cell: 0.0 0.0
E above lowest polymorph / eV per atom: 0.000 0.023
Density of states at the Fermi level / states/eV/atom: 1.5858 1.0513